First-principles (PBE-GGA) data for an optimized crystal structure of Rb8TlPt2, as listed in Alexandria.

Cell: 8.9064 8.9064 8.6905 Å, 91.67 91.67 72.69°
Fractional coordinates of all 11 atoms:
Rb  0.1260  0.1260  0.1336
Rb  0.1337  0.5714  0.3449
Rb  0.3624  0.3624  0.7875
Rb  0.4286  0.8663  0.6551
Rb  0.5714  0.1337  0.3449
Rb  0.6376  0.6376  0.2125
Rb  0.8663  0.4286  0.6551
Rb  0.8740  0.8740  0.8664
Tl  0.0000  0.0000  0.5000
Pt  0.1918  0.1918  0.4995
Pt  0.8082  0.8082  0.5005

## Properties
**Density of states at the Fermi level**: 6.75 states/eV per cell
**Energy of formation**: -0.001 eV per atom
**Space-group type**: No. 12
**ρ**: 3.2 Mg/m³



First-principles (PBE-GGA) data for an optimized crystal structure of Al2SbOs, as listed in Alexandria.

Cell: 4.5189 4.5189 3.3584 Å, 90.00 90.00 90.00°
Fractional coordinates of all 4 atoms:
Al  0.0000  0.5000  0.0000
Al  0.5000  0.0000  0.0000
Sb  0.0000  0.0000  0.5000
Os  0.5000  0.5000  0.5000

## Properties
**VASP energy**: -0.3960 Ry per atom
**Density of states at the Fermi level**: 2.66 states/eV per cell
**Space-group type**: No. 123
**ρ**: 8.9 Mg/m³